La2Sm4Ho3, relaxed, DFT PBE; total DFT energy (no corrections) = -4.64 eV/atom; DOS at the Fermi energy = 14.581 states/eV per cell; space-group type = C2/m (12)
1.0
3.445 0.000 -0.892
-0.374 8.622 -1.445
0.781 0.102 10.112
La Sm Ho
2 4 3
Cartesian
2.541 0.389 2.714
1.311 8.334 5.061
1.709 5.907 -0.497
1.269 3.105 4.901
2.142 2.817 8.272
2.582 5.619 2.874
0.391 3.153 1.510
3.460 5.571 6.265
0.000 0.000 0.000